Entry 1:
First-principles (GGA-PBE) data for crystalline SiRh2Pb at its relaxed geometry, as listed in the Alexandria database.

Values from the calculation:
V: 17.87 Å³/atom
theoretical density: 10.2 g cm⁻³
excess energy over the best structure of this formula in the dataset: 0.000 eV per atom
formation energy without anion corrections: -0.4165 eV/atom
total magnetization: 0.0 Bohr magnetons per cell

Unit cell a=3.7618 b=3.7618 c=17.4888 alpha=90.00 beta=90.00 gamma=120.00
Space group R3m (No. 160, hexagonal axes)
Inequivalent atoms, fractional coordinates:
Si: 0.0000 0.0000 0.0000 [3 per cell]
Rh: 0.0000 0.0000 0.3924 [3 per cell]
Rh: 0.0000 0.0000 0.6132 [3 per cell]
Pb: 0.0000 0.0000 0.1705 [3 per cell]

Entry 2:
First-principles (GGA-PBE) data for crystalline Nd4Sm2Ho2Tm at its relaxed geometry, as listed in the Alexandria database.

Values from the calculation:
V: 33.36 Å³/atom
theoretical density: 7.6 g cm⁻³
ΔH_f (0 K): 0.0217 eV/atom
total magnetization: 0.0 Bohr magnetons per cell

Unit cell a=15.362 b=5.119 c=8.057 alpha=90.00 beta=108.58 gamma=90.00
Space group C2/m (No. 12)
Inequivalent atoms, fractional coordinates:
Nd: 0.055 0.000 0.331 [4 per cell]
Nd: 0.222 0.500 0.331 [4 per cell]
Sm: 0.112 0.500 0.670 [4 per cell]
Ho: 0.167 0.000 0.000 [4 per cell]
Tm: 0.000 0.500 0.000 [2 per cell]

Entry 3:
First-principles (GGA-PBE) data for crystalline In7Hg12Cl at its relaxed geometry, as listed in the Alexandria database.

Values from the calculation:
V: 27.61 Å³/atom
theoretical density: 9.8 g cm⁻³
formation energy without anion corrections: -0.0393 eV/atom
total magnetization: 0.0 Bohr magnetons per cell

Unit cell a=14.5886 b=14.5886 c=8.9878 alpha=90.00 beta=90.00 gamma=120.00
Space group R-3 (No. 148, hexagonal axes)
Inequivalent atoms, fractional coordinates:
In: 0.0000 0.0000 0.0000 [3 per cell]
In: 0.0193 0.8410 0.2922 [18 per cell]
Hg: 0.0060 0.7572 0.6193 [18 per cell]
Hg: 0.0791 0.5832 0.6278 [18 per cell]
Cl: 0.0000 0.0000 0.5000 [3 per cell]

Entry 4:
First-principles (GGA-PBE) data for crystalline Pu4MnN7 at its relaxed geometry, as listed in the Alexandria database.

Values from the calculation:
V: 12.66 Å³/atom
theoretical density: 12.3 g cm⁻³
formation energy without anion corrections: -0.8632 eV/atom
total magnetization: 5.8 Bohr magnetons per cell

Unit cell a=12.570 b=3.741 c=8.925 alpha=90.00 beta=133.63 gamma=90.00
Space group C2/m (No. 12)
Inequivalent atoms, fractional coordinates:
Pu: 0.082 0.000 0.376 [4 per cell]
Pu: 0.250 0.000 0.160 [4 per cell]
Mn: 0.000 0.500 0.000 [2 per cell]
N: 0.000 0.000 0.000 [2 per cell]
N: 0.093 0.500 0.892 [4 per cell]
N: 0.131 0.000 0.687 [4 per cell]
N: 0.204 0.500 0.549 [4 per cell]

Entry 5:
First-principles (GGA-PBE) data for crystalline LiBe3F at its relaxed geometry, as listed in the Alexandria database.

Values from the calculation:
V: 14.13 Å³/atom
theoretical density: 1.2 g cm⁻³
excess energy over the best structure of this formula in the dataset: 0.794 eV per atom
formation energy without anion corrections: 0.9905 eV/atom
total magnetization: 0.0 Bohr magnetons per cell

Unit cell a=4.134 b=4.134 c=4.134 alpha=90.00 beta=90.00 gamma=90.00
Space group Pm-3m (No. 221)
Inequivalent atoms, fractional coordinates:
Li: 0.000 0.000 0.000 [1 per cell]
Be: 0.000 0.000 0.500 [3 per cell]
F: 0.500 0.500 0.500 [1 per cell]

Entry 6:
First-principles (GGA-PBE) data for crystalline LiCd2Sb at its relaxed geometry, as listed in the Alexandria database.

Values from the calculation:
V: 24.15 Å³/atom
theoretical density: 6.1 g cm⁻³
formation energy without anion corrections: -0.0822 eV/atom
total magnetization: 0.0 Bohr magnetons per cell

Unit cell a=4.351 b=4.351 c=20.410 alpha=90.00 beta=90.00 gamma=90.00
Space group I-42d (No. 122)
Inequivalent atoms, fractional coordinates:
Li: 0.000 0.000 0.000 [4 per cell]
Cd: 0.232 0.250 0.125 [8 per cell]
Sb: 0.000 0.000 0.500 [4 per cell]

Entry 7:
First-principles (GGA-PBE) data for crystalline VReSb2 at its relaxed geometry, as listed in the Alexandria database.

Values from the calculation:
V: 19.44 Å³/atom
theoretical density: 10.3 g cm⁻³
excess energy over the best structure of this formula in the dataset: 0.323 eV per atom
formation energy without anion corrections: 0.6604 eV/atom
total magnetization: 0.1 Bohr magnetons per cell

Unit cell a=3.0901 b=3.0901 c=28.2090 alpha=90.00 beta=90.00 gamma=120.00
Space group R-3m (No. 166, hexagonal axes)
Inequivalent atoms, fractional coordinates:
V: 0.0000 0.0000 0.0000 [3 per cell]
Re: 0.0000 0.0000 0.5000 [3 per cell]
Sb: 0.0000 0.0000 0.4058 [6 per cell]

Entry 8:
First-principles (GGA-PBE) data for crystalline CrInHRu2 at its relaxed geometry, as listed in the Alexandria database.

Values from the calculation:
V: 12.68 Å³/atom
theoretical density: 9.7 g cm⁻³
E: -6.722 eV per atom
total magnetization: 2.4 Bohr magnetons per cell

Unit cell a=4.075 b=4.075 c=3.819 alpha=90.00 beta=90.00 gamma=90.00
Space group P4/mmm (No. 123)
Inequivalent atoms, fractional coordinates:
Cr: 0.000 0.000 0.000 [1 per cell]
In: 0.500 0.500 0.000 [1 per cell]
H: 0.000 0.000 0.500 [1 per cell]
Ru: 0.000 0.500 0.500 [2 per cell]